GGA-PBE BaSr2Al, optimized geometry; Fermi-level density of states = 1.339 states/eV/atom; total magnetic moment = 0.00 μB per formula unit; ΔE_f = 0.201 eV/atom
1.0
-3.437 6.564 0.969
-2.481 -4.566 -5.370
-3.683 -0.997 1.195
Sr Ba Al
2 1 1
Direct
0.000 0.000 0.000 Sr
0.500 0.500 0.000 Sr
0.000 0.500 0.500 Ba
0.500 0.000 0.500 Al